{"formula": "TmTlHgS3", "functional": "PBE", "state": "relaxed", "cell": [[-6.298, -6.800, 10.998], [-0.017, -3.459, -2.148], [9.823, -2.560, 4.043]], "species": ["S", "S", "S", "S", "S", "S", "S", "S", "S", "S", "S", "S", "Tl", "Tl", "Tl", "Tl", "Hg", "Hg", "Hg", "Hg", "Tm", "Tm", "Tm", "Tm"], "frac_coords": [[0.859, 0.750, 0.723], [0.410, 0.250, 0.076], [0.088, 0.250, 0.870], [0.412, 0.750, 0.370], [0.590, 0.750, 0.924], [0.090, 0.750, 0.576], [0.588, 0.250, 0.630], [0.141, 0.250, 0.277], [0.912, 0.750, 0.130], [0.359, 0.750, 0.777], [0.641, 0.250, 0.223], [0.910, 0.250, 0.424], [0.751, 0.250, 0.950], [0.749, 0.750, 0.450], [0.251, 0.250, 0.550], [0.249, 0.750, 0.050], [0.524, 0.250, 0.394], [0.976, 0.750, 0.894], [0.024, 0.250, 0.106], [0.476, 0.750, 0.606], [0.475, 0.250, 0.849], [0.525, 0.750, 0.151], [0.025, 0.750, 0.349], [0.975, 0.250, 0.651]], "space_group": "Pnma, No. 62", "dft_energy_ev_per_atom": -4.204, "magnetic_moment_mub_per_cell": 0.0}